Material: Sr2AlGa4Pt3
Method: DFT, GGA-PBE
State: optimized geometry

Cell lengths 4.2817, 4.2817, 11.1127 Å; angles 90.00, 90.00, 90.00 degrees
Space group P-4m2 (No. 115)
Inequivalent atoms, fractional coordinates:
Sr (0.0000, 0.5000, 0.2471)
Al (0.0000, 0.0000, 0.5000)
Ga (0.0000, 0.0000, 0.0000)
Ga (0.0000, 0.5000, 0.6383)
Ga (0.5000, 0.5000, 0.0000)
Pt (0.0000, 0.5000, 0.8707)
Pt (0.5000, 0.5000, 0.5000)

## Properties
For the energy of formation, the calculation gives -7.695 eV per formula unit. The total moment comes out at 0.000 μB per cell. The total energy comes out at -4.50 eV/atom. As for the volume: 203.7 Å³/cell.